KAgSbSe2 after structural relaxation, computed with PBE.

Cell: 8.126 8.126 6.094 Å, 90.00 90.00 135.06°
Atoms (fractional coordinates):
K  0.250  0.750  0.751
K  0.750  0.250  0.249
Ag  0.000  0.000  0.500
Ag  0.500  0.500  0.500
Sb  0.250  0.250  0.000
Sb  0.750  0.750  0.000
Se  0.139  0.861  0.257
Se  0.361  0.639  0.257
Se  0.639  0.361  0.743
Se  0.861  0.139  0.743

Calculated values
As for the total energy: -16.712 eV/f.u. Its space group is Cmme. The formation energy (no corrections) comes out at -0.334 eV per atom. The calculation puts the volume at 284.24 Å³ per cell. Its total moment is 0.00 μB/f.u. The crystal system is orthorhombic.